An optimized crystal structure of Li4PrAu, computed with PBE-GGA.

Cell: 7.632 7.632 7.632 Å, 90.00 90.00 90.00°
Space group F-43m (No. 216)
Inequivalent atoms, fractional coordinates:
Li 0.122 0.122 0.378 [16 per cell]
Pr 0.000 0.000 0.000 [4 per cell]
Au 0.250 0.250 0.750 [4 per cell]

Calculated total energy ... -66.9 eV per cell
Size of the total moment ... 0.00 μB per formula unit